(1)
SrAlPBr2 | GGA-PBEsol | relaxed

* space-group type: P4/mmm (123)
* energy relative to the elements, uncorrected: -0.81 eV per atom

abc: 5.1558 5.1558 4.7159
angles: 90.00 90.00 90.00
Fractional positions:
Sr: 0.0000 0.0000 0.0000
Al: 0.5000 0.5000 0.5000
P: 0.5000 0.5000 0.0000
Br: 0.0000 0.5000 0.5000
Br: 0.5000 0.0000 0.5000

=====

(2)
Y5Sb | GGA-PBEsol | relaxed

* space-group type: Amm2 (38)
* energy above the lowest structure with this stoichiometry: 0.023 eV/atom
* energy relative to the elements, uncorrected: -0.30 eV per atom

abc: 5.2367 3.8144 17.1879
angles: 90.00 90.00 90.00
Fractional positions:
Y: 0.0000 0.0000 0.0000
Y: 0.0000 0.0000 0.3181
Y: 0.0000 0.0000 0.6529
Y: 0.0000 0.5000 0.1529
Y: 0.0000 0.5000 0.5000
Y: 0.0000 0.5000 0.8181
Y: 0.5000 0.0000 0.1928
Y: 0.5000 0.0000 0.8693
Y: 0.5000 0.5000 0.3693
Y: 0.5000 0.5000 0.6928
Sb: 0.5000 0.0000 0.5366
Sb: 0.5000 0.5000 0.0366

=====

(3)
TbHoFe4 | GGA-PBEsol | relaxed

* space-group type: F-43m (216)
* calculated formation energy: -0.0821 eV per atom

abc: 5.0112 5.0112 5.0112
angles: 60.00 60.00 60.00
Fractional positions:
Tb: 0.0000 0.0000 0.0000
Ho: 0.7500 0.7500 0.7500
Fe: 0.3751 0.3751 0.3751
Fe: 0.3751 0.3751 0.8748
Fe: 0.3751 0.8748 0.3751
Fe: 0.8748 0.3751 0.3751

=====

The records above yield magnetization values of 0.00 0.00 5.82 μB per formula unit, respectively.